First-principles (GGA-PBE) data for UPaFeIr after structural relaxation, as listed in Alexandria.

The value obtained for the formation energy is -0.340 eV/atom. The value obtained for the total magnetic moment is 0.50 μB/cell. The calculation puts the raw total energy at -0.363 Ha/atom. For the density of states at the Fermi level, the calculation gives 1.712 states/eV/atom.

It has space group F-43m (No. 216), with a = 6.5403 Å, b = 6.5403 Å, c = 6.5403 Å, α = 90.00°, β = 90.00° and γ = 90.00°. The inequivalent atoms are U at (0.0000, 0.0000, 0.0000), Pa at (0.2500, 0.2500, 0.7500), Fe at (0.0000, 0.0000, 0.5000) and Ir at (0.2500, 0.2500, 0.2500).